# BaCoRuF2 | Alexandria via LeMat-Bulk | GGA+U | relaxed
data_BaCoRuF2
_chemical_formula_sum 'Ba1 Co1 Ru1 F2'
_space_group_name_H-M_alt 'P 4/m m m'
_space_group_IT_number 123
_space_group_name_Hall '-P 4 2'
_cell_length_a 4.2072
_cell_length_b 4.2072
_cell_length_c 6.4065
_cell_angle_alpha 90.00
_cell_angle_beta 90.00
_cell_angle_gamma 90.00
loop_
_atom_site_label
_atom_site_type_symbol
_atom_site_fract_x
_atom_site_fract_y
_atom_site_fract_z
_atom_site_occupancy
Ba1 Ba 0.0000 0.0000 0.0000 1
Co1 Co 0.5000 0.5000 0.0000 1
Ru1 Ru 0.0000 0.0000 0.5000 1
F1 F 0.0000 0.5000 0.5000 1
# DOS(E_F) in states/eV/atom: 1.19
# Magnetization in μB per formula unit: 3.343
# Uncorrected energy in eV/atom: -4.116